Crystalline ZrGeO2F at its relaxed geometry. Source: Alexandria, functional PBE-GGA.

a b c (Å): 4.1673 4.1673 4.2900
angles (deg): 90.00 90.00 90.00
Closest atoms and distances in Å follow each position.
Space group P4/mmm (No. 123)
Unique sites:
Zr1 0.0000 0.0000 0.0000 x1  4 O 2.08, 2 F 2.14
Ge1 0.5000 0.5000 0.5000 x1  4 F 2.95, 8 O 2.99
O1 0.0000 0.5000 0.0000 x2  2 Zr 2.08
F1 0.0000 0.0000 0.5000 x1  2 Zr 2.14

Computed properties:
For the magnetization, the calculation gives 0.00 μB per formula unit. For the formation energy from raw total energies, the calculation gives -2047 meV/atom. The value obtained for the total energy is -7.037 eV per atom. The calculation puts the calculated volume at 75 Å³/cell.